(1)
Computed, not measured: crystalline SiBTe2 at its relaxed geometry at the PBE level of DFT.

Results
Volume ... 94 Å³/f.u.
Distance to the lowest polymorph of the same formula ... 0 meV per atom
E_form (uncorrected) ... 0.68 eV per atom
Mass density ... 5176 kg/m3

```
SiBTe2
1.0
-3.2917 3.2917 4.3534
3.2917 -3.2917 4.3534
3.2917 3.2917 -4.3534
Si B Te
2 2 4
Cartesian
0.0000 0.0000 0.0000 Si
0.0000 3.2917 2.1767 Si
3.2917 0.0000 2.1767 B
0.0000 0.0000 4.3534 B
1.6459 2.0739 -1.0884 Te
4.5095 1.6459 1.0884 Te
1.6459 1.2178 3.2651 Te
-1.2178 1.6459 5.4418 Te
```



(2)
Computed, not measured: crystalline Tl2ZnIn at its relaxed geometry at the PBE level of DFT.

Results
Volume ... 107 Å³/f.u.
Formation enthalpy at 0 K ... 0.449 eV/f.u.
Mass density ... 9180 kg/m3

```
Tl2ZnIn
1.0
2.0672 -2.7149 0.0000
2.0672 2.7149 0.0000
0.0000 0.0000 9.4916
Tl Zn In
2 1 1
Cartesian
0.0000 0.0000 2.1297 Tl
0.0000 0.0000 7.3619 Tl
2.0672 0.0000 0.0000 Zn
2.0672 0.0000 4.7458 In
```



(3)
Computed, not measured: crystalline PO2 at its relaxed geometry at the PBE level of DFT.

Results
Volume ... 27 Å³/f.u.
E_form (uncorrected) ... -1.39 eV per atom
Mass density ... 3863 kg/m3

```
PO2
1.0
5.4915 -2.1200 0.0000
5.4915 2.1200 0.0000
-0.9638 0.0000 4.6498
P O
4 8
Cartesian
2.7458 1.0600 0.0000 P
4.7687 1.3605 3.4874 P
2.2639 -1.0600 2.3249 P
5.2506 -1.3605 1.1625 P
0.0993 0.3926 4.4500 O
9.9199 -0.3926 0.1998 O
0.5812 -0.3926 2.1251 O
2.9642 0.1863 1.4509 O
2.4823 -0.1863 3.7758 O
7.5369 0.1863 0.8740 O
7.0550 -0.1863 3.1989 O
9.4380 0.3926 2.5247 O
```



(4)
Computed, not measured: crystalline KVTe2 at its relaxed geometry at the PBE level of DFT.

Results
Volume ... 150 Å³/f.u.
E_form (uncorrected) ... -0.48 eV per atom
Mass density ... 3816 kg/m3

```
KVTe2
1.0
-3.9584 3.9584 4.7943
3.9584 -3.9584 4.7943
3.9584 3.9584 -4.7943
K V Te
2 2 4
Cartesian
0.0000 0.0000 0.0000 K
0.0000 3.9584 2.3971 K
3.9584 0.0000 2.3971 V
0.0000 0.0000 4.7943 V
1.9792 -1.2504 3.5957 Te
2.7080 1.9792 1.1986 Te
1.9792 5.2087 -1.1986 Te
1.2504 1.9792 5.9928 Te
```



(5)
Computed, not measured: crystalline In17Sn11Hg at its relaxed geometry at the PBE level of DFT.

Results
Volume ... 813 Å³/f.u.
Formation enthalpy at 0 K ... 1.040 eV/f.u.
Mass density ... 7066 kg/m3

```
In17Sn11Hg
1.0
5.8700 -8.3814 0.0000
5.8700 8.3814 0.0000
-5.3860 0.0000 8.2596
In Sn Hg
17 11 1
Cartesian
0.0000 0.0000 0.0000 In
-1.1310 2.4194 5.3232 In
2.2492 4.8629 2.8282 In
-2.1586 0.0000 7.5513 In
5.5228 5.6990 2.0604 In
2.0944 2.8545 5.4416 In
-1.1310 -2.4194 5.3232 In
5.5084 2.5592 0.5469 In
2.6818 4.9552 7.8765 In
2.2492 -4.8629 2.8282 In
2.0944 -2.8545 5.4416 In
5.5084 -2.5592 0.5469 In
6.0698 0.0000 2.4823 In
4.1728 0.0000 5.4527 In
5.5228 -5.6990 2.0604 In
2.6818 -4.9552 7.8765 In
9.3636 0.0000 3.0430 In
1.6561 6.8194 5.3323 Sn
-0.4575 5.1226 7.0466 Sn
2.7140 1.5955 2.1300 Sn
2.7140 -1.5955 2.1300 Sn
4.9746 2.9778 3.8278 Sn
0.9535 0.0000 6.8958 Sn
8.6386 1.6291 0.3036 Sn
-0.4575 -5.1226 7.0466 Sn
4.9746 -2.9778 3.8278 Sn
1.6561 -6.8194 5.3323 Sn
8.6386 -1.6291 0.3036 Sn
0.5871 0.0000 3.8632 Hg
```



(6)
Computed, not measured: crystalline Er3BSb at its relaxed geometry at the PBE level of DFT.

Results
Volume ... 121 Å³/f.u.
E_form (uncorrected) ... -0.54 eV per atom
Mass density ... 8724 kg/m3

```
Er3BSb
1.0
4.9426 0.0000 0.0000
0.0000 4.9426 0.0000
0.0000 0.0000 4.9426
Er B Sb
3 1 1
Cartesian
0.0000 0.0000 2.4713 Er
0.0000 2.4713 0.0000 Er
2.4713 0.0000 0.0000 Er
0.0000 0.0000 0.0000 B
2.4713 2.4713 2.4713 Sb
```



(7)
Computed, not measured: crystalline TbPu2Tl3Te6 at its relaxed geometry at the PBE level of DFT.

Results
Volume ... 427 Å³/f.u.
E_form (uncorrected) ... -0.87 eV per atom
Mass density ... 7878 kg/m3

```
TbPu2Tl3Te6
1.0
3.8886 -6.7334 0.0000
3.8886 6.7334 0.0000
-2.5919 0.0000 8.1534
Tb Pu Tl Te
1 2 3 6
Cartesian
0.0000 0.0000 0.0000 Tb
3.8886 2.2426 0.0000 Pu
3.8886 -2.2426 0.0000 Pu
2.5927 4.4785 4.0767 Tl
2.5927 0.0000 4.0767 Tl
2.5927 -4.4785 4.0767 Tl
1.2907 2.2352 1.7462 Te
-0.0103 0.0000 6.4026 Te
1.2907 -2.2352 1.7462 Te
3.8947 2.2352 6.4072 Te
5.1957 0.0000 1.7508 Te
3.8947 -2.2352 6.4072 Te
```



(8)
Computed, not measured: crystalline HoGaHgAu at its relaxed geometry at the PBE level of DFT.

Results
Volume ... 85 Å³/f.u.
Formation enthalpy at 0 K ... -1.947 eV/f.u.
Mass density ... 12358 kg/m3

```
HoGaHgAu
1.0
0.0000 3.4891 3.4891
3.4891 0.0000 3.4891
3.4891 3.4891 0.0000
Ho Ga Hg Au
1 1 1 1
Cartesian
0.0000 0.0000 0.0000 Ho
3.4891 3.4891 3.4891 Ga
1.7445 1.7445 1.7445 Hg
5.2336 5.2336 5.2336 Au
```



(9)
Computed, not measured: crystalline RePt2Pb at its relaxed geometry at the PBE level of DFT.

Results
Volume ... 82 Å³/f.u.
Formation enthalpy at 0 K ... 1.158 eV/f.u.
Mass density ... 15783 kg/m3

```
RePt2Pb
1.0
-1.4032 2.0519 7.1578
1.4032 -2.0519 7.1578
1.4032 2.0519 -7.1578
Re Pt Pb
1 2 1
Cartesian
0.0000 0.0000 0.0000 Re
0.0000 0.0000 8.0179 Pt
0.0000 2.0519 4.9843 Pt
1.4032 0.0000 3.2457 Pb
```



(10)
Computed, not measured: crystalline Al2CdO at its relaxed geometry at the PBE level of DFT.

Results
Volume ... 67 Å³/f.u.
Distance to the lowest polymorph of the same formula ... 1211 meV per atom
E_form (uncorrected) ... 0.21 eV per atom
Mass density ... 4523 kg/m3

```
Al2CdO
1.0
0.0000 3.2229 3.2229
3.2229 0.0000 3.2229
3.2229 3.2229 0.0000
Al Cd O
2 1 1
Cartesian
1.6115 1.6115 1.6115 Al
4.8344 4.8344 4.8344 Al
0.0000 0.0000 0.0000 Cd
3.2229 3.2229 3.2229 O
```



(11)
Computed, not measured: crystalline PmThPtI at its relaxed geometry at the PBE level of DFT.

Results
Volume ... 127 Å³/f.u.
E_form (uncorrected) ... -1.01 eV per atom
Mass density ... 9155 kg/m3

```
PmThPtI
1.0
2.1190 1.2234 8.1531
-2.1190 1.2234 8.1531
0.0000 -2.4468 8.1531
Pm Th Pt I
1 1 1 1
Cartesian
0.0000 0.0000 0.0000 Pm
0.0000 0.0000 19.3769 Th
0.0000 0.0000 9.7643 Pt
0.0000 0.0000 5.6031 I
```



(12)
Computed, not measured: crystalline BaNi4Ir at its relaxed geometry at the PBE level of DFT.

Results
Volume ... 92 Å³/f.u.
Formation enthalpy at 0 K ... 2.738 eV/f.u.
Mass density ... 10147 kg/m3

```
BaNi4Ir
1.0
0.0000 3.5876 3.5876
3.5876 0.0000 3.5876
3.5876 3.5876 0.0000
Ba Ni Ir
1 4 1
Cartesian
0.0000 0.0000 0.0000 Ba
2.7080 2.7080 2.7080 Ni
4.4672 4.4672 2.7080 Ni
4.4672 2.7080 4.4672 Ni
2.7080 4.4672 4.4672 Ni
5.3814 5.3814 5.3814 Ir
```